1.
Computed, not measured: crystalline Y3U2Os4 at its relaxed geometry at the PBE level of DFT.

abc: 4.3101 5.8371 8.8182
angles: 100.50 90.02 111.67
With the nearest neighbours (Å) after each atom.
Positions (direct):
1 Os 0.9168 0.8334 0.3695  2 U 2.60, 1 Os 2.63
2 U 0.3263 0.6524 0.2236  5 Os 2.60-2.73
3 Os 0.0832 0.1666 0.6305  2 U 2.60, 1 Os 2.63
4 Y 0.0000 0.0000 0.0000  8 Os 3.20-3.55
5 U 0.6737 0.3476 0.7764  5 Os 2.60-2.73
6 Y 0.6267 0.2534 0.3842  6 Os 2.94-3.17, 1 U 3.29
7 Os 0.2804 0.5608 0.9080  3 U 2.61-2.73, 3 Os 2.85-2.92
8 Y 0.3733 0.7466 0.6158  6 Os 2.94-3.17, 1 U 3.29
9 Os 0.7196 0.4392 0.0920  3 U 2.61-2.73, 3 Os 2.85-2.92

Properties
Calculated formation energy, eV per atom: -0.200
Raw total energy, eV/atom: -9.854
Space-group type: No. 12
ρ, g cm⁻³: 12.351
Magnetic moment, μB/f.u.: 1.25


2.
Computed, not measured: crystalline YUOs4 at its relaxed geometry at the PBE level of DFT.

abc: 5.3479 5.3479 5.3479
angles: 60.00 60.00 60.00
With the nearest neighbours (Å) after each atom.
Positions (direct):
1 U 0.0000 0.0000 0.0000  12 Os 3.14, 4 Y 3.27
2 Os 0.6249 0.6249 0.6249  6 Os 2.67-2.68
3 Os 0.6249 0.6249 0.1252  6 Os 2.67-2.68
4 Os 0.1252 0.6249 0.6249  6 Os 2.67-2.68
5 Os 0.6249 0.1252 0.6249  6 Os 2.67-2.68
6 Y 0.2500 0.2500 0.2500  12 Os 3.14, 4 U 3.27

Properties
Calculated formation energy, eV per atom: -0.148
Raw total energy, eV/atom: -10.593
Space-group type: No. 216
ρ, g cm⁻³: 16.703
Magnetic moment, μB/f.u.: 1.54


3.
Computed, not measured: crystalline YUOs2 at its relaxed geometry at the PBE level of DFT.

abc: 3.3376 4.8536 4.8536
angles: 90.00 90.00 90.00
With the nearest neighbours (Å) after each atom.
Positions (direct):
1 Y 0.5000 0.5000 0.5000  8 Os 2.95
2 Os 0.0000 0.5000 0.0000  4 Y 2.95, 4 U 2.95
3 U 0.5000 0.0000 0.0000  8 Os 2.95
4 Os 0.0000 0.0000 0.5000  4 U 2.95, 4 Y 2.95

Properties
Calculated formation energy, eV per atom: -0.059
Raw total energy, eV/atom: -10.112
Space-group type: No. 123
ρ, g cm⁻³: 14.940
Magnetic moment, μB/f.u.: 1.52


Look up the magnetic moment of the first one. 1.25 μB/f.u.